Computed, not measured: an optimized crystal structure of Na8Se2S at the PBE level of DFT.

Properties
Mass density (g/cm³): 2.0
V (Å³ per atom): 28.3
E (eV/atom): -2.773

Structure (POSCAR):
```
Na8Se2S
1.0
4.787 0.000 0.000
0.000 8.082 2.146
-2.394 -0.641 7.874
Na Se S
8 2 1
Direct
0.442 0.692 0.883
0.684 0.938 0.369
0.815 0.560 0.630
0.939 0.177 0.878
0.185 0.440 0.370
0.316 0.062 0.631
0.558 0.308 0.117
0.061 0.823 0.122
0.750 0.249 0.500
0.250 0.751 0.500
0.500 0.000 0.000
```



Computed, not measured: an optimized crystal structure of PaTcSnAu at the PBE level of DFT.

Properties
Mass density (g/cm³): 13.0
V (Å³ per atom): 20.6
Formation enthalpy at 0 K (eV/f.u.): -0.21
E (eV/atom): -6.838

Structure (POSCAR):
```
PaTcSnAu
1.0
-3.573 3.275 0.631
-3.717 0.202 -3.167
-4.455 -1.476 1.363
Pa Au Sn Tc
1 1 1 1
Direct
0.750 0.750 0.750
0.500 0.500 0.500
0.250 0.250 0.250
0.000 0.000 0.000
```